# meta-GGA SCAN NaFeP2O7, PBEsol geometry
# Formation energy without anion corrections ... -225 kJ per mole of atoms
# Density ... 3.2 g cm⁻³
# Fermi-level density of states ... 0.00 states/eV/cell
# E ... -10.22 eV per atom
data_NaFeP2O7
_cell_length_a 4.850
_cell_length_b 8.056
_cell_length_c 7.132
_cell_angle_alpha 90.00
_cell_angle_beta 107.34
_cell_angle_gamma 90.00
_symmetry_space_group_name_H-M 'P 1 21 1'
_symmetry_Int_Tables_number 4
_symmetry_space_group_name_Hall 'P 2yb'
loop_
_atom_site_label
_atom_site_type_symbol
_atom_site_fract_x
_atom_site_fract_y
_atom_site_fract_z
Na1 Na 0.211 0.000 0.240
Fe1 Fe 0.222 0.427 0.237
P1 P 0.222 0.164 0.616
P2 P 0.388 0.731 0.991
O1 O 0.050 0.626 0.328
O2 O 0.158 0.269 0.430
O3 O 0.162 0.868 0.945
O4 O 0.263 0.559 0.002
O5 O 0.394 0.009 0.596
O6 O 0.411 0.233 0.137
O7 O 0.426 0.281 0.785